(1)
Compound: Tl2As
Source: the Alexandria database
Functional: PBE
Structure: optimized geometry

Computed properties:
Magnetization in μB/f.u.: 0.0
ΔH_f (0 K) in eV/f.u.: 0.24
Distance to the lowest polymorph of the same formula in meV per atom: 58
E in eV/cell: -18.29

a b c (Å): 7.7405 7.7405 4.9133
angles (deg): 90.00 90.00 142.81
Closest atoms and distances in Å follow each position.
Fractional coordinates of all 6 atoms:
Tl  0.5813  0.8837  0.7500  1 As 2.99
As  0.8603  0.8603  0.2500  2 As 2.82, 2 Tl 2.99
Tl  0.4187  0.1163  0.2500  1 As 2.99
Tl  0.1163  0.4187  0.2500  1 As 2.99
As  0.1397  0.1397  0.7500  2 As 2.82, 2 Tl 2.99
Tl  0.8837  0.5813  0.7500  1 As 2.99

---

(2)
Compound: RbHfSiP2
Source: the Alexandria database
Functional: PBE
Structure: optimized geometry

Computed properties:
Magnetization in μB/f.u.: 0.0
E in eV/cell: -23.72
Energy relative to the elements, uncorrected in eV per atom: 0.690

a b c (Å): 4.9356 4.9851 4.9356
angles (deg): 90.00 90.00 90.00
Closest atoms and distances in Å follow each position.
Fractional coordinates of all 5 atoms:
Hf  0.0000  0.5000  0.0000  2 Si 2.49
P  0.5000  0.0000  0.0000  2 Si 2.47
P  0.0000  0.0000  0.5000  2 Si 2.47
Rb  0.5000  0.5000  0.5000  4 Hf 3.49, 8 P 3.51
Si  0.0000  0.0000  0.0000  4 P 2.47, 2 Hf 2.49

---

(3)
Compound: Ca2TlSn3Te6
Source: the Alexandria database
Functional: PBE
Structure: optimized geometry

Computed properties:
Magnetization in μB/f.u.: 0.0
E in eV/cell: -45.57
Energy relative to the elements, uncorrected in eV per atom: -0.695

a b c (Å): 4.5027 9.1429 10.2429
angles (deg): 102.90 102.70 90.00
Closest atoms and distances in Å follow each position.
Fractional coordinates of all 12 atoms:
Ca  0.1686  0.3353  0.3372  6 Te 3.19-3.23
Te  0.9958  0.7355  0.9916  3 Sn 3.13-3.36, 1 Ca 3.20, 2 Tl 3.29
Sn  0.1686  0.8350  0.3371  6 Te 3.08-3.36
Te  0.6732  0.0901  0.3464  3 Sn 3.08-3.23, 2 Ca 3.19, 1 Tl 3.37
Sn  0.8314  0.1650  0.6629  6 Te 3.08-3.36
Te  0.6655  0.5833  0.3310  3 Ca 3.21-3.23, 3 Sn 3.21-3.22
Te  0.3345  0.4167  0.6690  3 Ca 3.21-3.23, 3 Sn 3.21-3.22
Sn  0.5000  0.5000  0.0000  6 Te 3.13-3.22
Te  0.0042  0.2645  0.0084  3 Sn 3.13-3.36, 1 Ca 3.20, 2 Tl 3.29
Ca  0.8314  0.6647  0.6628  6 Te 3.19-3.23
Te  0.3268  0.9099  0.6536  3 Sn 3.08-3.23, 2 Ca 3.19, 1 Tl 3.37
Tl  0.5000  0.0000  0.0000  6 Te 3.29-3.37

---

(4)
Compound: ZrIn2SiW
Source: the Alexandria database
Functional: PBE
Structure: optimized geometry

Computed properties:
Magnetization in μB/f.u.: 1.6
E in eV/cell: -24.13
Energy relative to the elements, uncorrected in eV per atom: 1.654

a b c (Å): 5.5484 5.5484 4.8814
angles (deg): 90.00 90.00 90.00
Closest atoms and distances in Å follow each position.
Fractional coordinates of all 5 atoms:
W  0.0000  0.0000  0.5000  2 Zr 2.44
In  0.5000  0.0000  0.0000  2 Zr 2.77
Si  0.5000  0.5000  0.5000  8 In 3.70, 4 W 3.92
Zr  0.0000  0.0000  0.0000  2 W 2.44
In  0.0000  0.5000  0.0000  2 Zr 2.77

---

(5)
Compound: Ca2Be4Si3Ge
Source: the Alexandria database
Functional: PBE
Structure: optimized geometry

Computed properties:
Magnetization in μB/f.u.: 0.0
E in eV/cell: -42.21
Energy relative to the elements, uncorrected in eV per atom: -0.241

a b c (Å): 3.9559 3.9559 9.7719
angles (deg): 90.00 90.00 90.00
Closest atoms and distances in Å follow each position.
Fractional coordinates of all 10 atoms:
Ge  0.5000  0.5000  0.5000  4 Be 2.38
Ca  0.5000  0.0000  0.2450  6 Si 3.01-3.18, 8 Be 3.03-3.11, 2 Ge 3.18
Si  0.0000  0.5000  0.1311  5 Be 2.27-2.36
Be  0.0000  0.5000  0.3638  3 Si 2.27-2.38, 2 Ge 2.38
Be  0.5000  0.0000  0.6362  3 Si 2.27-2.38, 2 Ge 2.38
Be  0.0000  0.0000  0.0000  4 Si 2.36
Ca  0.0000  0.5000  0.7550  6 Si 3.01-3.18, 8 Be 3.03-3.11, 2 Ge 3.18
Be  0.5000  0.5000  0.0000  4 Si 2.36
Si  0.0000  0.0000  0.5000  4 Be 2.38
Si  0.5000  0.0000  0.8689  5 Be 2.27-2.36

---

(6)
Compound: BaBePb3
Source: the Alexandria database
Functional: PBE
Structure: optimized geometry

Computed properties:
Magnetization in μB/f.u.: 0.0
ΔH_f (0 K) in eV/f.u.: 0.03
Distance to the lowest polymorph of the same formula in meV per atom: 0
E in eV/cell: -16.74

a b c (Å): 5.3367 5.3367 5.3367
angles (deg): 90.00 90.00 90.00
Closest atoms and distances in Å follow each position.
Fractional coordinates of all 5 atoms:
Be  0.0000  0.0000  0.0000  6 Pb 2.67
Pb  0.0000  0.5000  0.0000  2 Be 2.67
Pb  0.0000  0.0000  0.5000  2 Be 2.67
Ba  0.5000  0.5000  0.5000  12 Pb 3.77
Pb  0.5000  0.0000  0.0000  2 Be 2.67

---

(7)
Compound: CuIr2W
Source: the Alexandria database
Functional: PBE
Structure: optimized geometry

Computed properties:
Magnetization in μB/f.u.: 0.0
ΔH_f (0 K) in eV/f.u.: 0.65
Distance to the lowest polymorph of the same formula in meV per atom: 320
E in eV/cell: -34.13

a b c (Å): 2.7159 2.7159 8.9503
angles (deg): 90.00 90.00 116.27
Closest atoms and distances in Å follow each position.
Fractional coordinates of all 4 atoms:
Ir  0.0000  0.0000  0.9976  2 Cu 2.64, 2 W 2.68, 6 Ir 2.72-2.87
W  0.5000  0.5000  0.2500  4 Ir 2.68, 6 W 2.72-2.87
Ir  0.0000  0.0000  0.5024  2 Cu 2.64, 2 W 2.68, 6 Ir 2.72-2.87
Cu  0.5000  0.5000  0.7500  4 Ir 2.64, 6 Cu 2.72-2.87

---

(8)
Compound: BeIn2P
Source: the Alexandria database
Functional: PBE
Structure: optimized geometry

Computed properties:
Magnetization in μB/f.u.: 0.0
ΔH_f (0 K) in eV/f.u.: 2.16
Distance to the lowest polymorph of the same formula in meV per atom: 435
E in eV/cell: -12.46

a b c (Å): 4.0493 5.2000 3.7809
angles (deg): 90.00 90.00 90.00
Closest atoms and distances in Å follow each position.
Fractional coordinates of all 4 atoms:
In  0.0000  0.0000  0.0000  4 P 2.77
In  0.5000  0.5000  0.0000  4 Be 2.77
Be  0.0000  0.5000  0.5000  4 In 2.77
P  0.5000  0.0000  0.5000  4 In 2.77

---

(9)
Compound: Mn2CoCl
Source: the Alexandria database
Functional: PBE
Structure: optimized geometry

Computed properties:
Magnetization in μB/f.u.: 9.6
Distance to the lowest polymorph of the same formula in meV per atom: 348
E in eV/cell: -25.83
Energy relative to the elements, uncorrected in eV per atom: 0.366

a b c (Å): 6.1054 6.1054 6.1054
angles (deg): 151.73 141.95 48.07
Closest atoms and distances in Å follow each position.
Fractional coordinates of all 4 atoms:
Co  0.2479  0.7479  0.5000  6 Mn 2.49, 2 Cl 2.64
Mn  0.7402  0.2402  0.5000  4 Co 2.49, 2 Mn 2.76
Cl  0.4432  0.4432  0.0000  2 Co 2.64, 4 Mn 2.85
Mn  0.0687  0.0687  0.0000  2 Co 2.49, 2 Mn 2.76

---

(10)
Compound: Tm3InRh
Source: the Alexandria database
Functional: PBE
Structure: optimized geometry

Computed properties:
Magnetization in μB/f.u.: 0.0
ΔH_f (0 K) in eV/f.u.: -2.59
Distance to the lowest polymorph of the same formula in meV per atom: 0
E in eV/cell: -52.19

a b c (Å): 5.3814 6.4582 9.0222
angles (deg): 68.60 72.65 65.38
Closest atoms and distances in Å follow each position.
Fractional coordinates of all 10 atoms:
Rh  0.1418  0.6645  0.0519  6 Tm 2.67-2.76
In  0.3879  0.7668  0.4575  1 In 3.01, 4 Tm 3.18-3.26
Rh  0.8582  0.3355  0.9481  6 Tm 2.67-2.76
Tm  0.8896  0.9927  0.2282  2 Rh 2.68-2.76
Tm  0.6078  0.6834  0.1009  3 Rh 2.72-2.73
Tm  0.8417  0.6563  0.6602  1 Rh 2.67
In  0.6121  0.2332  0.5425  1 In 3.01, 4 Tm 3.18-3.26
Tm  0.3922  0.3166  0.8991  3 Rh 2.72-2.73
Tm  0.1583  0.3437  0.3398  1 Rh 2.67
Tm  0.1104  0.0073  0.7718  2 Rh 2.68-2.76

---

Which of these has the highest E?
BeIn2P

---

The highest magnetization belongs to which entry?
Mn2CoCl

---

What is the formula in the fourth record?
ZrIn2SiW

---

magnetization of number 4 (ZrIn2SiW)?
1.6 μB/f.u.